1.
The following is a PBE calculation of a relaxed structure of PuZn3Hg, from Alexandria.

Computed properties:
As for the formation energy: -74 meV per atom.

Lattice parameters (Å, degrees): 5.933 5.525 6.040 90.00 91.75 90.00
Element x y z (fractional)
Pu  0.155  0.250  0.135
Pu  0.845  0.750  0.865
Zn  0.366  0.000  0.669
Zn  0.366  0.500  0.669
Zn  0.370  0.750  0.042
Zn  0.630  0.250  0.958
Zn  0.634  0.000  0.331
Zn  0.634  0.500  0.331
Hg  0.053  0.750  0.373
Hg  0.947  0.250  0.627

2.
The following is a PBE calculation of a relaxed structure of PuZnHg3, from Alexandria.

Computed properties:
As for the formation energy: 116 meV per atom.

Lattice parameters (Å, degrees): 12.042 12.042 3.543 90.20 90.20 25.16
Element x y z (fractional)
Pu  0.031  0.031  0.250
Pu  0.969  0.969  0.750
Zn  0.352  0.352  0.748
Zn  0.648  0.648  0.252
Hg  0.146  0.146  0.756
Hg  0.258  0.258  0.251
Hg  0.444  0.444  0.249
Hg  0.556  0.556  0.751
Hg  0.742  0.742  0.749
Hg  0.854  0.854  0.244

3.
The following is a PBE calculation of a relaxed structure of Pu2ZnHg3, from Alexandria.

Computed properties:
As for the formation energy: -172 meV per atom.

Lattice parameters (Å, degrees): 3.173 5.006 8.760 90.00 90.00 90.00
Element x y z (fractional)
Pu  0.000  0.000  0.000
Pu  0.000  0.500  0.488
Zn  0.500  0.000  0.326
Hg  0.500  0.000  0.648
Hg  0.500  0.500  0.169
Hg  0.500  0.500  0.828

4.
The following is a PBE calculation of a relaxed structure of PuZrZnHg, from Alexandria.

Computed properties:
Its distance to the lowest polymorph of the same formula is 0.000 eV per atom. As for the formation energy: -142 meV per atom.

Lattice parameters (Å, degrees): 3.133 3.133 8.770 90.00 90.00 90.00
Element x y z (fractional)
Pu  0.000  0.000  0.000
Zr  0.000  0.000  0.466
Zn  0.500  0.500  0.252
Hg  0.500  0.500  0.718

Which value of formation energy does entry 3 give? -172 meV per atom

Which of these has the lowest formation energy? Pu2ZnHg3